# 1
{
  "formula": "YVSbI2",
  "functional": "PBE",
  "state": "optimized geometry",
  "lattice": [[5.853, 0.000, 0.000], [0.000, 5.853, 0.000], [0.000, 0.000, 6.118]],
  "species": ["Y", "V", "Sb", "I", "I"],
  "fractional_positions": [[0.000, 0.000, 0.000], [0.500, 0.500, 0.500], [0.000, 0.000, 0.500], [0.000, 0.500, 0.000], [0.500, 0.000, 0.000]],
  "e_form_raw_ev_per_fu": 1.4,
  "e_above_lowest_polymorph_mev_per_atom": 249
}


# 2
{
  "formula": "U2Pt13",
  "functional": "PBE",
  "state": "optimized geometry",
  "lattice": [[3.661, 2.114, 6.729], [-3.661, 2.114, 6.729], [0.000, -4.228, 6.729]],
  "species": ["U", "U", "Pt", "Pt", "Pt", "Pt", "Pt", "Pt", "Pt", "Pt", "Pt", "Pt", "Pt", "Pt", "Pt"],
  "fractional_positions": [[0.244, 0.244, 0.244], [0.756, 0.756, 0.756], [0.000, 0.000, 0.000], [0.022, 0.022, 0.636], [0.022, 0.636, 0.022], [0.243, 0.243, 0.606], [0.243, 0.606, 0.243], [0.364, 0.978, 0.978], [0.394, 0.757, 0.757], [0.606, 0.243, 0.243], [0.636, 0.022, 0.022], [0.757, 0.394, 0.757], [0.757, 0.757, 0.394], [0.978, 0.364, 0.978], [0.978, 0.978, 0.364]],
  "ef_ev_per_atom": -0.06,
  "e_above_lowest_polymorph_mev_per_atom": 221
}


# 3
{
  "formula": "TaTl3Zn",
  "functional": "PBE",
  "state": "optimized geometry",
  "lattice": [[5.561, 0.000, 0.000], [0.000, 5.561, 0.000], [0.000, 0.000, 5.561]],
  "species": ["Ta", "Tl", "Tl", "Tl", "Zn"],
  "fractional_positions": [[0.000, 0.000, 0.000], [0.000, 0.000, 0.500], [0.000, 0.500, 0.000], [0.500, 0.000, 0.000], [0.500, 0.500, 0.500]],
  "ef_ev_per_atom": 0.83,
  "e_above_lowest_polymorph_mev_per_atom": 0
}


# 4
{
  "formula": "Ba2In4Sn5",
  "functional": "PBE",
  "state": "optimized geometry",
  "lattice": [[-3.421, 4.865, 5.396], [3.421, -4.865, 5.396], [3.421, 4.865, -5.396]],
  "species": ["Ba", "Ba", "In", "In", "In", "In", "Sn", "Sn", "Sn", "Sn", "Sn"],
  "fractional_positions": [[0.239, 0.000, 0.239], [0.761, 0.000, 0.761], [0.136, 0.356, 0.780], [0.424, 0.644, 0.780], [0.576, 0.356, 0.220], [0.864, 0.644, 0.220], [0.000, 0.500, 0.500], [0.257, 0.530, 0.273], [0.257, 0.984, 0.727], [0.743, 0.016, 0.273], [0.743, 0.470, 0.727]],
  "ef_ev_per_atom": -0.24
}


# 5
{
  "formula": "YAl2",
  "functional": "PBE",
  "state": "optimized geometry",
  "lattice": [[3.902, 0.000, 0.000], [0.000, 3.902, 0.000], [0.000, 0.000, 4.865]],
  "species": ["Y", "Al", "Al"],
  "fractional_positions": [[0.000, 0.000, 0.000], [0.000, 0.500, 0.500], [0.500, 0.000, 0.500]],
  "ef_ev_per_atom": -0.04
}


# 6
{
  "formula": "Sc2Ag2W",
  "functional": "PBE",
  "state": "optimized geometry",
  "lattice": [[7.775, 0.000, 0.000], [0.000, 7.775, 0.000], [0.000, 0.000, 3.172]],
  "species": ["Sc", "Sc", "Sc", "Sc", "Ag", "Ag", "Ag", "Ag", "W", "W"],
  "fractional_positions": [[0.165, 0.335, 0.000], [0.335, 0.835, 0.000], [0.665, 0.165, 0.000], [0.835, 0.665, 0.000], [0.134, 0.634, 0.500], [0.366, 0.134, 0.500], [0.634, 0.866, 0.500], [0.866, 0.366, 0.500], [0.000, 0.000, 0.000], [0.500, 0.500, 0.000]],
  "ef_ev_per_atom": 0.36,
  "e_above_lowest_polymorph_mev_per_atom": 0
}


# 7
{
  "formula": "AcZn3Sb3",
  "functional": "PBE",
  "state": "optimized geometry",
  "lattice": [[7.439, 0.000, 0.000], [0.000, 7.439, 0.000], [0.000, 0.000, 7.439]],
  "species": ["Ac", "Ac", "Zn", "Zn", "Zn", "Zn", "Zn", "Zn", "Sb", "Sb", "Sb", "Sb", "Sb", "Sb"],
  "fractional_positions": [[0.000, 0.000, 0.000], [0.500, 0.500, 0.500], [0.000, 0.250, 0.500], [0.000, 0.750, 0.500], [0.250, 0.500, 0.000], [0.500, 0.000, 0.250], [0.500, 0.000, 0.750], [0.750, 0.500, 0.000], [0.000, 0.500, 0.250], [0.000, 0.500, 0.750], [0.250, 0.000, 0.500], [0.500, 0.250, 0.000], [0.500, 0.750, 0.000], [0.750, 0.000, 0.500]],
  "e_form_raw_ev_per_fu": -0.6,
  "e_above_lowest_polymorph_mev_per_atom": 271
}


# 8
{
  "formula": "AlSeBr2Cl",
  "functional": "PBE",
  "state": "optimized geometry",
  "lattice": [[5.311, 0.000, 0.000], [0.000, 5.311, 0.000], [0.000, 0.000, 5.137]],
  "species": ["Al", "Se", "Br", "Br", "Cl"],
  "fractional_positions": [[0.000, 0.000, 0.000], [0.500, 0.500, 0.000], [0.000, 0.500, 0.500], [0.500, 0.000, 0.500], [0.500, 0.500, 0.500]],
  "e_form_raw_ev_per_fu": 2.5,
  "e_above_lowest_polymorph_mev_per_atom": 633
}